Entry 1:
BaCaH3 | SCAN | PBEsol geometry

a b c (Å): 4.3841 4.3841 4.3841
angles (deg): 90.00 90.00 90.00
With the nearest neighbours (Å) after each atom.
Fractional positions:
Ba1 0.0000 0.0000 0.0000  12 H 3.10
Ca1 0.5000 0.5000 0.5000  6 H 2.19
H1 0.0000 0.5000 0.5000  2 Ca 2.19
H2 0.5000 0.0000 0.5000  2 Ca 2.19
H3 0.5000 0.5000 0.0000  2 Ca 2.19

Properties
* DOS at the Fermi energy: 1.88 states/eV/f.u.
* V: 16.85 Å³ per atom
* M_tot: 0.0 Bohr magnetons per cell
* uncorrected energy: -62.00 eV for the cell shown

=====

Entry 2:
Ba2CaH2 | SCAN | PBEsol geometry

a b c (Å): 8.0224 8.0224 4.2450
angles (deg): 90.00 90.00 90.00
With the nearest neighbours (Å) after each atom.
Fractional positions:
Ba1 0.1676 0.3324 0.0000  2 H 2.78
Ba2 0.3324 0.8324 0.0000  2 H 2.78
Ba3 0.6676 0.1676 0.0000  2 H 2.78
Ba4 0.8324 0.6676 0.0000  2 H 2.78
Ca1 0.0000 0.0000 0.5000  4 H 2.96
Ca2 0.5000 0.5000 0.5000  4 H 2.96
H1 0.1749 0.6749 0.5000  2 Ba 2.78, 2 Ca 2.96
H2 0.3251 0.1749 0.5000  2 Ba 2.78, 2 Ca 2.96
H3 0.6749 0.8251 0.5000  2 Ba 2.78, 2 Ca 2.96
H4 0.8251 0.3251 0.5000  2 Ba 2.78, 2 Ca 2.96

Properties
* DOS at the Fermi energy: 3.10 states/eV/f.u.
* V: 27.32 Å³ per atom
* M_tot: 0.0 Bohr magnetons per cell
* uncorrected energy: -191.16 eV for the cell shown